(1)
{
  "formula": "Nd4Tl2Bi",
  "functional": "PBE",
  "state": "optimized geometry",
  "lattice_angstrom": [[-4.8363, 4.8363, 4.8439], [4.8363, -4.8363, 4.8439], [4.8363, 4.8363, -4.8439]],
  "species": ["Nd", "Nd", "Nd", "Nd", "Nd", "Nd", "Nd", "Nd", "Tl", "Tl", "Tl", "Tl", "Bi", "Bi"],
  "fractional_positions": [[0.1285, 0.2347, 0.7498], [0.1287, 0.7349, 0.7502], [0.2651, 0.0153, 0.3938], [0.4849, 0.3787, 0.2502], [0.6213, 0.8715, 0.1062], [0.6215, 0.8713, 0.6062], [0.7653, 0.5151, 0.8938], [0.9847, 0.3785, 0.2498], [0.2493, 0.6250, 0.1243], [0.3750, 0.4993, 0.6243], [0.5007, 0.1250, 0.8757], [0.8750, 0.7507, 0.3757], [0.0000, 0.0000, 0.0000], [0.7500, 0.2500, 0.5000]],
  "vol_a3_per_cell": 453.2,
  "formation_enthalpy_0k_ev_per_fu": -3.418
}

(2)
{
  "formula": "NdTlBi",
  "functional": "PBE",
  "state": "optimized geometry",
  "lattice_angstrom": [[-1.7426, 1.7426, 8.6966], [1.7426, -1.7426, 8.6966], [1.7426, 1.7426, -8.6966]],
  "species": ["Nd", "Tl", "Bi"],
  "fractional_positions": [[0.0000, 0.0000, 0.0000], [0.1851, 0.1851, 0.0000], [0.3667, 0.3667, 0.0000]],
  "de_polymorph_mev_per_atom": 232,
  "vol_a3_per_cell": 105.6,
  "formation_enthalpy_0k_ev_per_fu": -0.283
}

(3)
{
  "formula": "NdTl2Bi",
  "functional": "PBE",
  "state": "optimized geometry",
  "lattice_angstrom": [[4.9067, 0.0000, 0.0000], [0.0000, 4.9067, 0.0000], [0.0000, 0.0000, 4.9034]],
  "species": ["Nd", "Tl", "Tl", "Bi"],
  "fractional_positions": [[0.0000, 0.0000, 0.0000], [0.0000, 0.5000, 0.5000], [0.5000, 0.0000, 0.5000], [0.5000, 0.5000, 0.0000]],
  "vol_a3_per_cell": 118.1,
  "formation_enthalpy_0k_ev_per_fu": -1.572
}

(4)
{
  "formula": "Nd5Tl2Bi",
  "functional": "PBE",
  "state": "optimized geometry",
  "lattice_angstrom": [[-4.3878, 4.3878, 6.6728], [4.3878, -4.3878, 6.6728], [4.3878, 4.3878, -6.6728]],
  "species": ["Nd", "Nd", "Nd", "Nd", "Nd", "Nd", "Nd", "Nd", "Nd", "Nd", "Tl", "Tl", "Tl", "Tl", "Bi", "Bi"],
  "fractional_positions": [[0.0000, 0.0000, 0.0000], [0.0062, 0.5062, 0.8120], [0.1942, 0.0062, 0.5000], [0.3058, 0.8058, 0.8120], [0.4938, 0.3058, 0.5000], [0.5000, 0.5000, 0.0000], [0.5062, 0.6942, 0.5000], [0.6942, 0.1942, 0.1880], [0.8058, 0.9938, 0.5000], [0.9938, 0.4938, 0.1880], [0.1435, 0.3565, 0.5000], [0.3565, 0.8565, 0.2131], [0.6435, 0.1435, 0.7869], [0.8565, 0.6435, 0.5000], [0.2500, 0.2500, 0.0000], [0.7500, 0.7500, 0.0000]],
  "vol_a3_per_cell": 513.9,
  "formation_enthalpy_0k_ev_per_fu": -3.507
}